# 1
Computed, not measured: an optimized crystal structure of YTc2Ge2 at the PBE-GGA level of DFT.

Computed properties:
* polymorph energy (0 for the lowest one): 0.00 eV/f.u.
* formation energy from the elements: -0.46 eV/atom
* D(E_F): 1.8 states/eV/f.u.
* VASP energy: -7.7489 eV/atom

a = 11.083 Å, b = 11.083 Å, c = 4.194 Å
α = 99.31°, β = 99.31°, γ = 21.48°
Positions (direct):
Y (0.154, 0.154, 0.370)
Y (0.846, 0.846, 0.630)
Tc (0.035, 0.035, 0.780)
Tc (0.463, 0.463, 0.718)
Tc (0.537, 0.537, 0.282)
Tc (0.965, 0.965, 0.220)
Ge (0.275, 0.275, 0.141)
Ge (0.393, 0.393, 0.156)
Ge (0.607, 0.607, 0.844)
Ge (0.725, 0.725, 0.859)

***

# 2
Computed, not measured: an optimized crystal structure of YTcGe3 at the PBE-GGA level of DFT.

Computed properties:
* polymorph energy (0 for the lowest one): 0.00 eV/f.u.
* formation energy from the elements: -0.40 eV/atom
* D(E_F): 1.9 states/eV/f.u.
* VASP energy: -6.5318 eV/atom

a = 6.318 Å, b = 6.318 Å, c = 5.949 Å
α = 90.00°, β = 90.00°, γ = 126.79°
Positions (direct):
Y (0.104, 0.896, 0.750)
Y (0.896, 0.104, 0.250)
Tc (0.500, 0.500, 0.000)
Tc (0.500, 0.500, 0.500)
Ge (0.108, 0.364, 0.750)
Ge (0.319, 0.681, 0.250)
Ge (0.364, 0.108, 0.250)
Ge (0.636, 0.892, 0.750)
Ge (0.681, 0.319, 0.750)
Ge (0.892, 0.636, 0.250)

***

# 3
Computed, not measured: an optimized crystal structure of YTcGe at the PBE-GGA level of DFT.

Computed properties:
* polymorph energy (0 for the lowest one): 0.49 eV/f.u.
* formation energy from the elements: -0.35 eV/atom
* D(E_F): 2.4 states/eV/f.u.
* VASP energy: -7.5019 eV/atom

a = 3.713 Å, b = 4.339 Å, c = 4.339 Å
α = 59.87°, β = 90.00°, γ = 90.00°
Positions (direct):
Y (0.000, 0.000, 0.000)
Tc (0.500, 0.334, 0.334)
Ge (0.500, 0.667, 0.667)

***

# 4
Computed, not measured: an optimized crystal structure of YTc2Ge3 at the PBE-GGA level of DFT.

Computed properties:
* polymorph energy (0 for the lowest one): 0.00 eV/f.u.
* formation energy from the elements: -0.35 eV/atom
* D(E_F): 4.2 states/eV/f.u.
* VASP energy: -7.1905 eV/atom

a = 6.228 Å, b = 6.228 Å, c = 8.590 Å
α = 90.00°, β = 90.00°, γ = 138.75°
Positions (direct):
Y (0.183, 0.817, 0.750)
Y (0.817, 0.183, 0.250)
Tc (0.000, 0.000, 0.000)
Tc (0.000, 0.000, 0.500)
Tc (0.460, 0.540, 0.750)
Tc (0.540, 0.460, 0.250)
Ge (0.134, 0.866, 0.250)
Ge (0.382, 0.618, 0.032)
Ge (0.382, 0.618, 0.468)
Ge (0.618, 0.382, 0.532)
Ge (0.618, 0.382, 0.968)
Ge (0.866, 0.134, 0.750)

***

# 5
Computed, not measured: an optimized crystal structure of YTc2Ge2 at the PBE-GGA level of DFT.

Computed properties:
* polymorph energy (0 for the lowest one): 0.29 eV/f.u.
* formation energy from the elements: -0.41 eV/atom
* D(E_F): 5.2 states/eV/f.u.
* VASP energy: -7.6914 eV/atom

a = 6.077 Å, b = 6.077 Å, c = 6.077 Å
α = 140.11°, β = 140.11°, γ = 57.68°
Positions (direct):
Y (0.000, 0.000, 0.000)
Tc (0.250, 0.750, 0.500)
Tc (0.750, 0.250, 0.500)
Ge (0.381, 0.381, 0.000)
Ge (0.619, 0.619, 0.000)

***

# 6
Computed, not measured: an optimized crystal structure of Y2TcGe3 at the PBE-GGA level of DFT.

Computed properties:
* formation energy from the elements: -0.36 eV/atom
* D(E_F): 4.4 states/eV/f.u.
* VASP energy: -6.5534 eV/atom

a = 6.279 Å, b = 6.279 Å, c = 6.279 Å
α = 138.87°, β = 127.50°, γ = 68.78°
Positions (direct):
Y (0.183, 0.183, 0.000)
Y (0.817, 0.817, 0.000)
Tc (0.500, 0.500, 0.000)
Ge (0.000, 0.500, 0.500)
Ge (0.372, 0.872, 0.500)
Ge (0.628, 0.128, 0.500)

***

# 7
Computed, not measured: an optimized crystal structure of YTc2Ge at the PBE-GGA level of DFT.

Computed properties:
* formation energy from the elements: 0.18 eV/atom
* D(E_F): 7.5 states/eV/f.u.
* VASP energy: -7.7751 eV/atom

a = 9.800 Å, b = 9.800 Å, c = 9.800 Å
α = 155.36°, β = 155.36°, γ = 35.13°
Positions (direct):
Y (0.000, 0.000, 0.000)
Y (0.750, 0.250, 0.500)
Tc (0.233, 0.625, 0.108)
Tc (0.375, 0.483, 0.608)
Tc (0.517, 0.125, 0.892)
Tc (0.875, 0.767, 0.392)
Ge (0.250, 0.750, 0.500)
Ge (0.500, 0.500, 0.000)

***

# 8
Computed, not measured: an optimized crystal structure of YTc3Ge at the PBE-GGA level of DFT.

Computed properties:
* polymorph energy (0 for the lowest one): 8.43 eV/f.u.
* formation energy from the elements: 2.34 eV/atom
* D(E_F): 5.0 states/eV/f.u.
* VASP energy: -6.0963 eV/atom

a = 4.869 Å, b = 4.869 Å, c = 4.869 Å
α = 90.00°, β = 90.00°, γ = 90.00°
Positions (direct):
Y (0.000, 0.000, 0.000)
Tc (0.000, 0.000, 0.500)
Tc (0.000, 0.500, 0.000)
Tc (0.500, 0.000, 0.000)
Ge (0.500, 0.500, 0.500)

***

# 9
Computed, not measured: an optimized crystal structure of Y3TcGe at the PBE-GGA level of DFT.

Computed properties:
* polymorph energy (0 for the lowest one): 0.00 eV/f.u.
* formation energy from the elements: 0.15 eV/atom
* D(E_F): 1.2 states/eV/f.u.
* VASP energy: -6.7277 eV/atom

a = 5.254 Å, b = 5.254 Å, c = 5.254 Å
α = 90.00°, β = 90.00°, γ = 90.00°
Positions (direct):
Y (0.000, 0.000, 0.500)
Y (0.000, 0.500, 0.000)
Y (0.500, 0.000, 0.000)
Tc (0.000, 0.000, 0.000)
Ge (0.500, 0.500, 0.500)

***

# 10
Computed, not measured: an optimized crystal structure of YTcGe at the PBE-GGA level of DFT.

Computed properties:
* polymorph energy (0 for the lowest one): 0.00 eV/f.u.
* formation energy from the elements: -0.52 eV/atom
* D(E_F): 2.9 states/eV/f.u.
* VASP energy: -7.6656 eV/atom

a = 4.026 Å, b = 4.026 Å, c = 7.312 Å
α = 90.00°, β = 90.00°, γ = 90.00°
Positions (direct):
Y (0.250, 0.250, 0.160)
Y (0.750, 0.750, 0.840)
Tc (0.250, 0.750, 0.500)
Tc (0.750, 0.250, 0.500)
Ge (0.250, 0.250, 0.726)
Ge (0.750, 0.750, 0.274)

***

# 11
Computed, not measured: an optimized crystal structure of YTc2Ge2 at the PBE-GGA level of DFT.

Computed properties:
* polymorph energy (0 for the lowest one): 1.10 eV/f.u.
* formation energy from the elements: -0.24 eV/atom
* D(E_F): 2.8 states/eV/f.u.
* VASP energy: -7.5291 eV/atom

a = 7.381 Å, b = 7.381 Å, c = 3.115 Å
α = 90.00°, β = 90.00°, γ = 90.00°
Positions (direct):
Y (0.000, 0.000, 0.000)
Y (0.500, 0.500, 0.000)
Tc (0.149, 0.351, 0.500)
Tc (0.351, 0.851, 0.500)
Tc (0.649, 0.149, 0.500)
Tc (0.851, 0.649, 0.500)
Ge (0.139, 0.639, 0.000)
Ge (0.361, 0.139, 0.000)
Ge (0.639, 0.861, 0.000)
Ge (0.861, 0.361, 0.000)

***

# 12
Computed, not measured: an optimized crystal structure of YTcGe4 at the PBE-GGA level of DFT.

Computed properties:
* formation energy from the elements: -0.20 eV/atom
* D(E_F): 4.1 states/eV/f.u.
* VASP energy: -6.0841 eV/atom

a = 6.335 Å, b = 6.407 Å, c = 6.890 Å
α = 90.44°, β = 90.00°, γ = 119.61°
Positions (direct):
Y (0.095, 0.001, 0.250)
Y (0.905, 0.999, 0.750)
Tc (0.000, 0.500, 0.000)
Tc (0.500, 0.500, 0.500)
Ge (0.139, 0.510, 0.349)
Ge (0.309, 0.906, 0.908)
Ge (0.370, 0.509, 0.848)
Ge (0.402, 0.093, 0.592)
Ge (0.598, 0.907, 0.408)
Ge (0.630, 0.491, 0.152)
Ge (0.691, 0.094, 0.092)
Ge (0.861, 0.490, 0.651)

***

# 13
Computed, not measured: an optimized crystal structure of YTc2Ge2 at the PBE-GGA level of DFT.

Computed properties:
* polymorph energy (0 for the lowest one): 0.99 eV/f.u.
* formation energy from the elements: -0.26 eV/atom
* D(E_F): 4.9 states/eV/f.u.
* VASP energy: -7.5503 eV/atom

a = 5.705 Å, b = 5.705 Å, c = 5.705 Å
α = 133.98°, β = 133.98°, γ = 67.12°
Positions (direct):
Y (0.000, 0.000, 0.000)
Tc (0.380, 0.380, 0.000)
Tc (0.620, 0.620, 0.000)
Ge (0.250, 0.750, 0.500)
Ge (0.750, 0.250, 0.500)

***

# 14
Computed, not measured: an optimized crystal structure of YTcGe3 at the PBE-GGA level of DFT.

Computed properties:
* polymorph energy (0 for the lowest one): 2.32 eV/f.u.
* formation energy from the elements: 0.07 eV/atom
* D(E_F): 4.3 states/eV/f.u.
* VASP energy: -6.0683 eV/atom

a = 4.819 Å, b = 4.819 Å, c = 4.819 Å
α = 90.00°, β = 90.00°, γ = 90.00°
Positions (direct):
Y (0.000, 0.000, 0.000)
Tc (0.500, 0.500, 0.500)
Ge (0.000, 0.500, 0.500)
Ge (0.500, 0.000, 0.500)
Ge (0.500, 0.500, 0.000)

***

# 15
Computed, not measured: an optimized crystal structure of YTc2Ge2 at the PBE-GGA level of DFT.

Computed properties:
* polymorph energy (0 for the lowest one): 1.45 eV/f.u.
* formation energy from the elements: -0.17 eV/atom
* D(E_F): 3.7 states/eV/f.u.
* VASP energy: -7.4594 eV/atom

a = 6.348 Å, b = 6.348 Å, c = 6.240 Å
α = 109.20°, β = 109.20°, γ = 105.38°
Positions (direct):
Y (0.106, 0.894, 0.750)
Y (0.894, 0.106, 0.250)
Tc (0.247, 0.455, 0.995)
Tc (0.455, 0.247, 0.495)
Tc (0.545, 0.753, 0.505)
Tc (0.753, 0.545, 0.005)
Ge (0.188, 0.812, 0.250)
Ge (0.394, 0.606, 0.750)
Ge (0.606, 0.394, 0.250)
Ge (0.812, 0.188, 0.750)

***

# 16
Computed, not measured: an optimized crystal structure of Y2Tc3Ge4 at the PBE-GGA level of DFT.

Computed properties:
* formation energy from the elements: -0.39 eV/atom
* D(E_F): 6.3 states/eV/f.u.
* VASP energy: -7.3328 eV/atom

a = 8.024 Å, b = 7.041 Å, c = 5.453 Å
α = 78.79°, β = 59.41°, γ = 41.81°
Positions (direct):
Y (0.136, 0.136, 0.864)
Y (0.864, 0.864, 0.136)
Tc (0.000, 0.000, 0.500)
Tc (0.500, 0.500, 0.000)
Tc (0.500, 0.500, 0.500)
Ge (0.174, 0.505, 0.495)
Ge (0.495, 0.826, 0.174)
Ge (0.505, 0.174, 0.826)
Ge (0.826, 0.495, 0.505)

***

# 17
Computed, not measured: an optimized crystal structure of YTc2Ge3 at the PBE-GGA level of DFT.

Computed properties:
* polymorph energy (0 for the lowest one): 0.30 eV/f.u.
* formation energy from the elements: -0.30 eV/atom
* D(E_F): 4.1 states/eV/f.u.
* VASP energy: -7.1405 eV/atom

a = 6.082 Å, b = 6.082 Å, c = 5.918 Å
α = 90.00°, β = 90.00°, γ = 78.11°
Positions (direct):
Y (0.139, 0.861, 0.750)
Y (0.861, 0.139, 0.250)
Tc (0.286, 0.286, 0.000)
Tc (0.286, 0.286, 0.500)
Tc (0.714, 0.714, 0.000)
Tc (0.714, 0.714, 0.500)
Ge (0.054, 0.626, 0.250)
Ge (0.374, 0.946, 0.250)
Ge (0.489, 0.511, 0.250)
Ge (0.511, 0.489, 0.750)
Ge (0.626, 0.054, 0.750)
Ge (0.946, 0.374, 0.750)

***

# 18
Computed, not measured: an optimized crystal structure of YTcGe3 at the PBE-GGA level of DFT.

Computed properties:
* polymorph energy (0 for the lowest one): 9.07 eV/f.u.
* formation energy from the elements: 1.42 eV/atom
* D(E_F): 4.5 states/eV/f.u.
* VASP energy: -4.7171 eV/atom

a = 5.304 Å, b = 5.304 Å, c = 5.304 Å
α = 90.00°, β = 90.00°, γ = 90.00°
Positions (direct):
Y (0.000, 0.000, 0.000)
Tc (0.500, 0.500, 0.500)
Ge (0.000, 0.000, 0.500)
Ge (0.000, 0.500, 0.000)
Ge (0.500, 0.000, 0.000)

***

# 19
Computed, not measured: an optimized crystal structure of YTc3Ge at the PBE-GGA level of DFT.

Computed properties:
* polymorph energy (0 for the lowest one): 0.00 eV/f.u.
* formation energy from the elements: 0.65 eV/atom
* D(E_F): 5.7 states/eV/f.u.
* VASP energy: -7.7829 eV/atom

a = 4.635 Å, b = 4.635 Å, c = 4.635 Å
α = 90.00°, β = 90.00°, γ = 90.00°
Positions (direct):
Y (0.000, 0.000, 0.000)
Tc (0.000, 0.500, 0.500)
Tc (0.500, 0.000, 0.500)
Tc (0.500, 0.500, 0.000)
Ge (0.500, 0.500, 0.500)

***

# 20
Computed, not measured: an optimized crystal structure of YZnTc2Ge at the PBE-GGA level of DFT.

Computed properties:
* formation energy from the elements: 1.03 eV/atom
* D(E_F): 4.5 states/eV/f.u.
* VASP energy: -5.5915 eV/atom

a = 4.622 Å, b = 4.622 Å, c = 5.020 Å
α = 90.00°, β = 90.00°, γ = 90.00°
Positions (direct):
Y (0.000, 0.000, 0.000)
Zn (0.000, 0.000, 0.500)
Tc (0.000, 0.500, 0.500)
Tc (0.500, 0.000, 0.500)
Ge (0.500, 0.500, 0.000)